(1)
Computed, not measured: an optimized crystal structure of TbYHo6Sc2 at the GGA-PBE level of DFT.

Results
E_form = 11.8 kJ/mol of atoms
calculated volume = 607.6 Å³/cell

The structure in POSCAR format:
```
TbYHo6Sc2
1.0
4.4477 -7.3707 0.0000
4.4477 7.3707 0.0000
-1.1117 0.0000 9.2677
Tb Y Ho Sc
2 2 12 4
direct
0.0918 0.9082 0.7500 Tb
0.9082 0.0918 0.2500 Tb
0.4744 0.5256 0.2500 Y
0.5256 0.4744 0.7500 Y
0.0023 0.7948 0.3823 Ho
0.0635 0.5199 0.1814 Ho
0.2052 0.9977 0.1177 Ho
0.2556 0.6213 0.5541 Ho
0.3787 0.7444 0.9459 Ho
0.4801 0.9365 0.3186 Ho
0.5199 0.0635 0.6814 Ho
0.6213 0.2556 0.0541 Ho
0.7444 0.3787 0.4459 Ho
0.7948 0.0023 0.8823 Ho
0.9365 0.4801 0.8186 Ho
0.9977 0.2052 0.6177 Ho
0.1943 0.3045 0.9539 Sc
0.3045 0.1943 0.4539 Sc
0.6955 0.8057 0.5461 Sc
0.8057 0.6955 0.0461 Sc
```

***

(2)
Computed, not measured: an optimized crystal structure of TmCoP at the GGA-PBE level of DFT.

Results
E_form = -76.6 kJ/mol of atoms
calculated volume = 54.1 Å³/cell

The structure in POSCAR format:
```
TmCoP
1.0
1.8803 1.0856 4.4136
-1.8803 1.0856 4.4136
0.0000 -2.1712 4.4136
Tm Co P
1 1 1
direct
0.0000 0.0000 0.0000 Tm
0.5098 0.5098 0.5098 Co
0.2060 0.2060 0.2060 P
```

***

(3)
Computed, not measured: an optimized crystal structure of Ac2SiF at the GGA-PBE level of DFT.

Results
energy above the lowest structure with this stoichiometry = 80.4 meV per atom
calculated volume = 141.5 Å³/cell
formation energy (no corrections) = -1.438 eV/atom

The structure in POSCAR format:
```
Ac2SiF
1.0
2.1894 1.2641 8.5215
-2.1894 1.2641 8.5215
0.0000 -2.5281 8.5215
Ac Si F
2 1 1
direct
0.0000 0.0000 0.0000 Ac
0.1918 0.1918 0.1918 Ac
0.5902 0.5902 0.5902 Si
0.3603 0.3603 0.3603 F
```